Here is AgPd2Au after structural relaxation from Alexandria. Energies are from PBE.

Formation energy ... 0.219 eV per atom
Crystal system ... orthorhombic
SG ... Immm (71)
Magnetization ... 0.0 μB per formula unit
Energy above the most stable polymorph in this dataset ... 0.279 eV/atom

Lattice parameters (Å, degrees): 2.762 4.810 10.928 90.00 90.00 90.00
Fractional positions:
1 Ag 0.000 0.000 0.000
2 Ag 0.500 0.500 0.500
3 Pd 0.000 0.000 0.251
4 Pd 0.000 0.000 0.749
5 Pd 0.500 0.500 0.249
6 Pd 0.500 0.500 0.751
7 Au 0.000 0.000 0.500
8 Au 0.500 0.500 0.000

=====

Here is CdIn2Pb9 after structural relaxation from Alexandria. Energies are from PBE.

Formation energy ... 0.017 eV per atom
Crystal system ... tetragonal
SG ... P4/mmm (123)
Magnetization ... 0.0 μB per formula unit

Lattice parameters (Å, degrees): 4.950 4.950 14.881 90.00 90.00 90.00
Fractional positions:
1 Cd 0.000 0.000 0.000
2 In 0.000 0.000 0.333
3 In 0.000 0.000 0.667
4 Pb 0.000 0.500 0.163
5 Pb 0.000 0.500 0.500
6 Pb 0.000 0.500 0.837
7 Pb 0.500 0.000 0.163
8 Pb 0.500 0.000 0.500
9 Pb 0.500 0.000 0.837
10 Pb 0.500 0.500 0.000
11 Pb 0.500 0.500 0.331
12 Pb 0.500 0.500 0.669

=====

Here is CuTc2Ni after structural relaxation from Alexandria. Energies are from PBE.

Formation energy ... 0.105 eV per atom
Crystal system ... tetragonal
SG ... I-4m2 (119)
Magnetization ... 0.0 μB per formula unit
Energy above the most stable polymorph in this dataset ... 0.005 eV/atom

Lattice parameters (Å, degrees): 3.723 3.723 7.503 90.00 90.00 90.00
Fractional positions:
1 Cu 0.000 0.000 0.000
2 Cu 0.500 0.500 0.500
3 Tc 0.000 0.000 0.500
4 Tc 0.000 0.500 0.250
5 Tc 0.500 0.000 0.750
6 Tc 0.500 0.500 0.000
7 Ni 0.000 0.500 0.750
8 Ni 0.500 0.000 0.250

=====

Here is CuOsIO2 after structural relaxation from Alexandria. Energies are from PBE.

E_form (uncorrected) ... 1077 meV per atom
Crystal system ... tetragonal
SG ... P4/mmm (123)
Magnetization ... 0.0 μB per formula unit
Energy above the most stable polymorph in this dataset ... 1.423 eV/atom

Lattice parameters (Å, degrees): 3.746 3.746 5.707 90.00 90.00 90.00
Fractional positions:
1 Cu 0.000 0.000 0.000
2 Os 0.500 0.500 0.500
3 I 0.000 0.000 0.500
4 O 0.000 0.500 0.000
5 O 0.500 0.000 0.000

=====

Here is AsCl after structural relaxation from Alexandria. Energies are from PBE.

E_form (uncorrected) ... -183 meV per atom
Crystal system ... monoclinic
SG ... Cm (8)
Magnetization ... 0.0 μB per formula unit

Lattice parameters (Å, degrees): 13.607 3.649 8.469 90.00 114.19 90.00
Fractional positions:
1 As 0.000 0.000 0.000
2 As 0.009 0.000 0.590
3 As 0.460 0.000 0.765
4 As 0.500 0.500 0.000
5 As 0.509 0.500 0.590
6 As 0.960 0.500 0.765
7 Cl 0.176 0.000 0.125
8 Cl 0.284 0.000 0.712
9 Cl 0.481 0.000 0.368
10 Cl 0.676 0.500 0.125
11 Cl 0.784 0.500 0.712
12 Cl 0.981 0.500 0.368

=====

Here is Sm2ThBr after structural relaxation from Alexandria. Energies are from PBE.

E_form (uncorrected) ... -458 meV per atom
Crystal system ... tetragonal
SG ... P4/mmm (123)
Magnetization ... 0.0 μB per formula unit
Energy above the most stable polymorph in this dataset ... 0.112 eV/atom

Lattice parameters (Å, degrees): 3.627 3.627 9.551 90.00 90.00 90.00
Fractional positions:
1 Sm 0.000 0.000 0.245
2 Sm 0.000 0.000 0.755
3 Th 0.500 0.500 0.500
4 Br 0.500 0.500 0.000

=====

Here is Nd6Mg5Hg after structural relaxation from Alexandria. Energies are from PBE.

Formation energy ... -0.169 eV per atom
Crystal system ... monoclinic
SG ... P2/m (10)
Magnetization ... 0.0 μB per formula unit

Lattice parameters (Å, degrees): 5.480 7.749 8.674 90.00 108.40 90.00
Fractional positions:
1 Nd 0.000 0.248 0.000
2 Nd 0.000 0.752 0.000
3 Nd 0.336 0.251 0.669
4 Nd 0.336 0.749 0.669
5 Nd 0.664 0.251 0.331
6 Nd 0.664 0.749 0.331
7 Mg 0.166 0.500 0.335
8 Mg 0.171 0.000 0.344
9 Mg 0.500 0.500 0.000
10 Mg 0.829 0.000 0.656
11 Mg 0.834 0.500 0.665
12 Hg 0.500 0.000 0.000

=====

Here is Nb2ReSi after structural relaxation from Alexandria. Energies are from PBE.

E_form (uncorrected) ... 425 meV per atom
Crystal system ... tetragonal
SG ... I-42d (122)
Magnetization ... 0.0 μB per formula unit

Lattice parameters (Å, degrees): 7.036 7.036 5.632 90.00 90.00 90.00
Fractional positions:
1 Nb 0.245 0.750 0.125
2 Nb 0.250 0.245 0.875
3 Nb 0.250 0.255 0.375
4 Nb 0.255 0.750 0.625
5 Nb 0.745 0.250 0.625
6 Nb 0.750 0.745 0.375
7 Nb 0.750 0.755 0.875
8 Nb 0.755 0.250 0.125
9 Re 0.000 0.000 0.500
10 Re 0.000 0.500 0.750
11 Re 0.500 0.000 0.250
12 Re 0.500 0.500 0.000
13 Si 0.000 0.000 0.000
14 Si 0.000 0.500 0.250
15 Si 0.500 0.000 0.750
16 Si 0.500 0.500 0.500

=====

Here is HgGe2Au after structural relaxation from Alexandria. Energies are from PBE.

Formation energy ... 0.200 eV per atom
Crystal system ... tetragonal
SG ... P4/mmm (123)
Magnetization ... 0.0 μB per formula unit

Lattice parameters (Å, degrees): 3.450 3.450 6.943 90.00 90.00 90.00
Fractional positions:
1 Hg 0.000 0.000 0.000
2 Ge 0.500 0.500 0.280
3 Ge 0.500 0.500 0.720
4 Au 0.000 0.000 0.500

=====

Here is La5Pr3Nd3 after structural relaxation from Alexandria. Energies are from PBE.

Formation energy ... 0.267 eV per atom
Crystal system ... hexagonal
SG ... P-62m (189)
Magnetization ... 0.0 μB per formula unit
Energy above the most stable polymorph in this dataset ... 0.000 eV/atom

Lattice parameters (Å, degrees): 11.612 11.612 3.540 90.00 90.00 120.00
Fractional positions:
1 La 0.000 0.339 0.000
2 La 0.333 0.667 0.000
3 La 0.339 0.000 0.000
4 La 0.661 0.661 0.000
5 La 0.667 0.333 0.000
6 Pr 0.000 0.599 0.500
7 Pr 0.401 0.401 0.500
8 Pr 0.599 0.000 0.500
9 Nd 0.000 0.840 0.000
10 Nd 0.160 0.160 0.000
11 Nd 0.840 0.000 0.000

=====

Here is Ca2H2O3 after structural relaxation from Alexandria. Energies are from PBE.

Crystal system ... trigonal
DFT total energy ... -0.2144 hartree per atom
SG ... P-3m1 (164)
Magnetization ... 0.0 μB per formula unit

Lattice parameters (Å, degrees): 3.520 3.520 8.190 90.00 90.00 120.00
Fractional positions:
1 Ca 0.333 0.667 0.170
2 Ca 0.667 0.333 0.830
3 H 0.333 0.667 0.568
4 H 0.667 0.333 0.432
5 O 0.000 0.000 0.000
6 O 0.333 0.667 0.687
7 O 0.667 0.333 0.313

=====

Here is Ba3SmIrRuO9 after structural relaxation from Alexandria. Energies are from PBE.

E_form (uncorrected) ... -2127 meV per atom
Crystal system ... hexagonal
SG ... P6_3mc (186)
Magnetization ... 1.5 μB per formula unit

Lattice parameters (Å, degrees): 5.992 5.992 14.856 90.00 90.00 120.00
Fractional positions:
1 Ba 0.000 0.000 0.000
2 Ba 0.000 0.000 0.500
3 Ba 0.333 0.667 0.152
4 Ba 0.333 0.667 0.845
5 Ba 0.667 0.333 0.345
6 Ba 0.667 0.333 0.652
7 Sm 0.000 0.000 0.250
8 Sm 0.000 0.000 0.750
9 Ir 0.333 0.667 0.585
10 Ir 0.667 0.333 0.085
11 Ru 0.333 0.667 0.415
12 Ru 0.667 0.333 0.915
13 O 0.020 0.510 0.500
14 O 0.178 0.355 0.342
15 O 0.178 0.356 0.662
16 O 0.178 0.822 0.342
17 O 0.178 0.822 0.662
18 O 0.355 0.178 0.842
19 O 0.356 0.178 0.162
20 O 0.490 0.510 0.500
21 O 0.490 0.980 0.500
22 O 0.510 0.020 0.000
23 O 0.510 0.490 0.000
24 O 0.644 0.822 0.662
25 O 0.645 0.822 0.342
26 O 0.822 0.178 0.162
27 O 0.822 0.178 0.842
28 O 0.822 0.644 0.162
29 O 0.822 0.645 0.842
30 O 0.980 0.490 0.000

=====

Here is TlGeBi2H after structural relaxation from Alexandria. Energies are from PBE.

Crystal system ... tetragonal
DFT total energy ... -0.1252 hartree per atom
SG ... P4/mmm (123)
Magnetization ... 0.0 μB per formula unit

Lattice parameters (Å, degrees): 5.953 5.953 3.532 90.00 90.00 90.00
Fractional positions:
1 Tl 0.000 0.000 0.000
2 Ge 0.500 0.500 0.500
3 Bi 0.000 0.500 0.500
4 Bi 0.500 0.000 0.500
5 H 0.500 0.500 0.000

=====

Here is ErThSe2O after structural relaxation from Alexandria. Energies are from PBE.

E_form (uncorrected) ... -2432 meV per atom
Crystal system ... tetragonal
SG ... P4/nmm (129)
Magnetization ... 0.0 μB per formula unit

Lattice parameters (Å, degrees): 3.970 3.970 13.768 90.00 90.00 90.00
Fractional positions:
1 Er 0.250 0.250 0.091
2 Er 0.750 0.750 0.909
3 Th 0.250 0.250 0.600
4 Th 0.750 0.750 0.400
5 Se 0.250 0.250 0.305
6 Se 0.250 0.250 0.881
7 Se 0.750 0.750 0.119
8 Se 0.750 0.750 0.695
9 O 0.250 0.750 0.500
10 O 0.750 0.250 0.500

=====

Here is Ti4Ga5Pd after structural relaxation from Alexandria. Energies are from PBE.

Formation energy ... -0.235 eV per atom
Crystal system ... tetragonal
SG ... I4 (79)
Magnetization ... 0.0 μB per formula unit

Lattice parameters (Å, degrees): 6.230 6.230 6.230 100.73 100.73 128.86
Fractional positions:
1 Ti 0.066 0.317 0.383
2 Ti 0.317 0.934 0.251
3 Ti 0.683 0.066 0.749
4 Ti 0.934 0.683 0.617
5 Ga 0.220 0.220 0.000
6 Ga 0.253 0.603 0.849
7 Ga 0.403 0.253 0.649
8 Ga 0.603 0.754 0.351
9 Ga 0.754 0.403 0.151
10 Pd 0.764 0.764 0.000

=====

Here is La2AlBiOs after structural relaxation from Alexandria. Energies are from PBE.

Formation energy ... -0.472 eV per atom
Crystal system ... tetragonal
SG ... P4/mmm (123)
Magnetization ... 0.0 μB per formula unit

Lattice parameters (Å, degrees): 5.528 5.528 4.869 90.00 90.00 90.00
Fractional positions:
1 La 0.000 0.500 0.000
2 La 0.500 0.000 0.000
3 Al 0.000 0.000 0.500
4 Bi 0.500 0.500 0.500
5 Os 0.000 0.000 0.000

=====

Here is AcPm5Nd6 after structural relaxation from Alexandria. Energies are from PBE.

Formation energy ... 0.020 eV per atom
Crystal system ... monoclinic
SG ... C2/m (12)
Magnetization ... 0.0 μB per formula unit

Lattice parameters (Å, degrees): 8.269 8.269 6.392 97.46 97.46 84.14
Fractional positions:
1 Ac 0.000 0.000 0.000
2 Pm 0.170 0.830 0.500
3 Pm 0.336 0.664 0.000
4 Pm 0.500 0.500 0.500
5 Pm 0.664 0.336 0.000
6 Pm 0.830 0.170 0.500
7 Nd 0.084 0.420 0.250
8 Nd 0.252 0.252 0.746
9 Nd 0.420 0.084 0.250
10 Nd 0.580 0.916 0.750
11 Nd 0.748 0.748 0.254
12 Nd 0.916 0.580 0.750

=====

Here is Mn2Pd7Au after structural relaxation from Alexandria. Energies are from PBE.

Formation energy ... 0.385 eV per atom
Crystal system ... orthorhombic
SG ... Cmmm (65)
Magnetization ... 9.1 μB per formula unit

Lattice parameters (Å, degrees): 7.382 7.382 4.189 90.00 90.00 121.49
Fractional positions:
1 Mn 0.195 0.805 0.000
2 Mn 0.805 0.195 0.000
3 Pd 0.000 0.000 0.000
4 Pd 0.200 0.425 0.000
5 Pd 0.291 0.709 0.500
6 Pd 0.425 0.200 0.000
7 Pd 0.575 0.800 0.000
8 Pd 0.709 0.291 0.500
9 Pd 0.800 0.575 0.000
10 Au 0.500 0.500 0.500

=====

Here is PmNd8Sc3 after structural relaxation from Alexandria. Energies are from PBE.

Formation energy ... 0.053 eV per atom
Crystal system ... triclinic
SG ... P1 (1)
Magnetization ... 0.0 μB per formula unit

Lattice parameters (Å, degrees): 6.781 6.815 9.554 95.82 95.51 115.89
Fractional positions:
1 Pm 0.000 0.000 0.000
2 Nd 0.051 0.521 0.113
3 Nd 0.184 0.157 0.662
4 Nd 0.200 0.687 0.776
5 Nd 0.522 0.490 0.999
6 Nd 0.524 0.021 0.112
7 Nd 0.666 0.663 0.659
8 Nd 0.844 0.826 0.331
9 Nd 0.871 0.353 0.445
10 Sc 0.346 0.330 0.336
11 Sc 0.372 0.856 0.445
12 Sc 0.701 0.182 0.769

=====

Here is SrBe2Au2 after structural relaxation from Alexandria. Energies are from PBE.

Formation energy ... -0.329 eV per atom
Crystal system ... tetragonal
SG ... I4/mmm (139)
Magnetization ... 0.0 μB per formula unit
Energy above the most stable polymorph in this dataset ... 0.000 eV/atom

Lattice parameters (Å, degrees): 4.208 4.208 10.608 90.00 90.00 90.00
Fractional positions:
1 Sr 0.000 0.000 0.000
2 Sr 0.500 0.500 0.500
3 Be 0.000 0.500 0.250
4 Be 0.000 0.500 0.750
5 Be 0.500 0.000 0.250
6 Be 0.500 0.000 0.750
7 Au 0.000 0.000 0.356
8 Au 0.000 0.000 0.644
9 Au 0.500 0.500 0.144
10 Au 0.500 0.500 0.856